[1]
First-principles (PBE) data for a relaxed structure of P6Se7, as listed in Alexandria via LeMat-Bulk.

```
P6Se7
1.0
8.3478 0.0071 0.0047
5.4217 6.3475 0.0047
5.4217 2.5021 5.8336
P Se
6 7
Cartesian
17.3572 8.0104 5.2846
1.8339 0.8463 0.5583
15.5980 7.1986 4.7490
3.5931 1.6582 1.0940
13.0335 6.0150 3.9682
6.1576 2.8417 1.8747
12.2798 3.6885 2.4334
10.7741 4.9723 5.4326
10.7741 6.9510 2.4334
6.9113 5.1683 3.4096
8.4170 1.9058 3.4096
8.4170 3.8845 0.4103
9.5955 4.4284 2.9215
```

Formation energy (no corrections) in eV per atom: 0.434
VASP energy in eV/f.u.: -51.2
Space-group type: R-3m (166)
Density in Mg/m³: 3.973
Magnetic moment in Bohr magnetons per cell: 0.0

---

[2]
First-principles (PBE) data for a relaxed structure of ScTc3F, as listed in Alexandria via LeMat-Bulk.

```
ScTc3F
1.0
4.2438 0.0000 0.0000
0.0000 4.2438 0.0000
0.0000 0.0000 4.2438
Sc Tc F
1 3 1
Cartesian
2.1219 2.1219 2.1219
0.0000 2.1219 0.0000
0.0000 0.0000 2.1219
2.1219 0.0000 0.0000
0.0000 0.0000 0.0000
```

Formation energy (no corrections) in eV per atom: 0.553
Energy above the most stable polymorph in this dataset in eV/atom: 0.000
VASP energy in eV/f.u.: -36.5
Space-group type: Pm-3m (221)
Density in Mg/m³: 7.777
Magnetic moment in Bohr magnetons per cell: 1.3

---

Q: Which value of VASP energy does entry 2 give?
A: -36.5 eV/f.u.

---

Q: Which of these has the highest formation energy (no corrections)?
A: ScTc3F